Crystalline ZnCr2GeO6 at its relaxed geometry. Source: Alexandria, functional GGA+U.

abc: 5.0912 5.0915 5.4521
angles: 62.16 62.17 59.99
Last column: magnetic moment on the atom in μB.
Positions (direct):
Zn 0.7971 0.7974 0.6082  0.01
Cr 0.5186 0.5185 0.4444  3.02
Cr 0.0128 0.0128 0.9616  2.99
Ge 0.3173 0.3173 0.0482  0.03
O 0.5982 0.2355 0.2309  -0.03
O 0.2357 0.9354 0.2308  -0.03
O 0.9355 0.5981 0.2308  -0.03
O 0.3998 0.7129 0.7535  -0.04
O 0.7130 0.1337 0.7535  -0.04
O 0.1337 0.3999 0.7533  -0.04

Output
Total moment ... 6.00 μB per formula unit
SG ... R3
Raw total energy ... -6.810 eV/atom

Crystalline ZrCrGeO6 at its relaxed geometry. Source: Alexandria, functional GGA+U.

abc: 4.6475 4.6475 9.1844
angles: 90.00 90.00 90.00
Last column: magnetic moment on the atom in μB.
Positions (direct):
Zr 0.5000 0.5000 0.1705  0.02
Zr 0.0000 0.0000 0.6705  0.02
Cr 0.5000 0.5000 0.4996  2.25
Cr 0.0000 0.0000 0.9996  2.25
Ge 0.5000 0.5000 0.8326  0.02
Ge 0.0000 0.0000 0.3326  0.02
O 0.2032 0.7968 0.4883  -0.08
O 0.7968 0.2032 0.4883  -0.08
O 0.2968 0.2968 0.9883  -0.08
O 0.7032 0.7032 0.9883  -0.08
O 0.1814 0.8186 0.1685  -0.04
O 0.8186 0.1814 0.1685  -0.04
O 0.3186 0.3186 0.6685  -0.04
O 0.6814 0.6814 0.6685  -0.04
O 0.7928 0.2072 0.8418  -0.03
O 0.2072 0.7928 0.8418  -0.03
O 0.7072 0.7072 0.3418  -0.03
O 0.2928 0.2928 0.3418  -0.03

Output
Total moment ... 2.00 μB per formula unit
SG ... P4_2nm
Raw total energy ... -7.690 eV/atom

Crystalline ZrCrGe2O8 at its relaxed geometry. Source: Alexandria, functional GGA+U.

abc: 5.6737 5.6737 5.6737
angles: 108.15 108.15 112.14
Last column: magnetic moment on the atom in μB.
Positions (direct):
Zr 0.0000 0.0000 0.0000  0.02
Cr 0.2500 0.7500 0.5000  2.79
Ge 0.7500 0.2500 0.5000  0.01
Ge 0.5000 0.5000 0.0000  -0.01
O 0.3696 0.0549 0.3146  -0.12
O 0.3015 0.4920 0.1904  -0.08
O 0.3015 0.1111 0.8096  -0.08
O 0.7403 0.0549 0.6854  -0.12
O 0.8889 0.6985 0.1904  -0.08
O 0.9451 0.2597 0.3146  -0.12
O 0.9451 0.6304 0.6854  -0.12
O 0.5080 0.6985 0.8096  -0.08

Output
Total moment ... 1.98 μB per formula unit
SG ... I-4m2
Raw total energy ... -7.246 eV/atom

Please write out number 2 again, unchanged.
Crystalline ZrCrGeO6 at its relaxed geometry. Source: Alexandria, functional GGA+U.

abc: 4.6475 4.6475 9.1844
angles: 90.00 90.00 90.00
Last column: magnetic moment on the atom in μB.
Positions (direct):
Zr 0.5000 0.5000 0.1705  0.02
Zr 0.0000 0.0000 0.6705  0.02
Cr 0.5000 0.5000 0.4996  2.25
Cr 0.0000 0.0000 0.9996  2.25
Ge 0.5000 0.5000 0.8326  0.02
Ge 0.0000 0.0000 0.3326  0.02
O 0.2032 0.7968 0.4883  -0.08
O 0.7968 0.2032 0.4883  -0.08
O 0.2968 0.2968 0.9883  -0.08
O 0.7032 0.7032 0.9883  -0.08
O 0.1814 0.8186 0.1685  -0.04
O 0.8186 0.1814 0.1685  -0.04
O 0.3186 0.3186 0.6685  -0.04
O 0.6814 0.6814 0.6685  -0.04
O 0.7928 0.2072 0.8418  -0.03
O 0.2072 0.7928 0.8418  -0.03
O 0.7072 0.7072 0.3418  -0.03
O 0.2928 0.2928 0.3418  -0.03

Output
Total moment ... 2.00 μB per formula unit
SG ... P4_2nm
Raw total energy ... -7.690 eV/atom

Repeat the second record exactly.
Crystalline ZrCrGeO6 at its relaxed geometry. Source: Alexandria, functional GGA+U.

abc: 4.6475 4.6475 9.1844
angles: 90.00 90.00 90.00
Last column: magnetic moment on the atom in μB.
Positions (direct):
Zr 0.5000 0.5000 0.1705  0.02
Zr 0.0000 0.0000 0.6705  0.02
Cr 0.5000 0.5000 0.4996  2.25
Cr 0.0000 0.0000 0.9996  2.25
Ge 0.5000 0.5000 0.8326  0.02
Ge 0.0000 0.0000 0.3326  0.02
O 0.2032 0.7968 0.4883  -0.08
O 0.7968 0.2032 0.4883  -0.08
O 0.2968 0.2968 0.9883  -0.08
O 0.7032 0.7032 0.9883  -0.08
O 0.1814 0.8186 0.1685  -0.04
O 0.8186 0.1814 0.1685  -0.04
O 0.3186 0.3186 0.6685  -0.04
O 0.6814 0.6814 0.6685  -0.04
O 0.7928 0.2072 0.8418  -0.03
O 0.2072 0.7928 0.8418  -0.03
O 0.7072 0.7072 0.3418  -0.03
O 0.2928 0.2928 0.3418  -0.03

Output
Total moment ... 2.00 μB per formula unit
SG ... P4_2nm
Raw total energy ... -7.690 eV/atom

Q: Which formula does entry 3 have?
A: ZrCrGe2O8

Q: Which value of raw total energy does entry 2 give?
A: -7.690 eV/atom